The following is a PBE calculation of a relaxed Ni3HPb crystal, from Alexandria.

Calculated values
Space-group type = Pm-3m, No. 221
Energy = -4.823 eV/atom
Total moment = 0.0 μB per formula unit

Cell: 3.846 3.846 3.846 Å, 90.00 90.00 90.00°
Element x y z (fractional)
Pb  0.500  0.500  0.500
Ni  0.000  0.500  0.000
Ni  0.000  0.000  0.500
Ni  0.500  0.000  0.000
H  0.000  0.000  0.000